First-principles (PBE) data for a geometry-optimized SrAc4Ir structure, as listed in Alexandria.

Lattice parameters (Å, degrees): 10.4574 10.4574 6.9399 106.81 106.81 45.86
Positions (direct):
Sr (0.1955, 0.1955, 0.1863)
Sr (0.8045, 0.8045, 0.8137)
Ac (0.1445, 0.6397, 0.3795)
Ac (0.2574, 0.7426, 0.0000)
Ac (0.3201, 0.3201, 0.7942)
Ac (0.3603, 0.8555, 0.6205)
Ac (0.6397, 0.1445, 0.3795)
Ac (0.6799, 0.6799, 0.2058)
Ac (0.7426, 0.2574, 0.0000)
Ac (0.8555, 0.3603, 0.6205)
Ir (0.4670, 0.4670, 0.6696)
Ir (0.5330, 0.5330, 0.3304)

Summary:
Its space group is C2/m, No. 12. The calculation puts the total energy at -4.69 eV/atom. The density of states at the Fermi level is 1.241 states/eV per atom.